1.
Computed, not measured: a relaxed Cr2FeCo crystal at the PBE level of DFT.

```
Cr2FeCo
1.0
-2.087 3.391 -1.696
-3.871 0.405 1.892
3.984 -0.411 1.640
Cr Co Fe
2 1 1
direct
0.000 0.000 0.000
0.250 0.750 0.500
0.750 0.250 0.500
0.500 0.500 0.000
```

Values from the calculation:
SG: I-4m2, No. 119
D(E_F): 5.058 states/eV/f.u.
total DFT energy (no corrections): -8.5771 eV/atom


2.
Computed, not measured: a relaxed NdMnNiGe2 crystal at the PBE level of DFT.

```
NdMnNiGe2
1.0
4.141 0.000 0.000
0.000 4.141 0.000
-2.071 -2.071 5.182
Ni Ge Nd Mn
1 2 1 1
direct
0.250 0.750 0.500
0.375 0.375 0.750
0.625 0.625 0.250
0.000 0.000 0.000
0.750 0.250 0.500
```

Values from the calculation:
SG: I-4m2, No. 119
D(E_F): 2.745 states/eV/f.u.
total DFT energy (no corrections): -6.3557 eV/atom


3.
Computed, not measured: a relaxed PrNd3Ho6 crystal at the PBE level of DFT.

```
PrNd3Ho6
1.0
2.342 5.281 8.088
3.529 -4.587 8.080
5.589 0.669 4.052
Ho Nd Pr
6 3 1
direct
0.074 0.400 0.799
0.400 0.727 0.799
0.900 0.573 0.300
0.727 0.074 0.799
0.573 0.227 0.300
0.227 0.900 0.300
0.151 0.151 0.548
0.400 0.400 0.801
0.649 0.649 0.054
0.900 0.900 0.301
```

Values from the calculation:
energy relative to the lowest polymorph listed for this composition: 1.46 eV per formula unit
SG: R3, No. 146
D(E_F): 20.937 states/eV/f.u.
total DFT energy (no corrections): -4.3593 eV/atom


4.
Computed, not measured: a relaxed Ga2CN crystal at the PBE level of DFT.

```
Ga2CN
1.0
2.642 -2.907 -0.188
-1.094 -3.577 -1.215
1.201 -1.342 -3.496
N Ga C
1 2 1
direct
0.500 0.500 0.500
0.250 0.250 0.250
0.750 0.750 0.750
0.000 0.000 0.000
```

Values from the calculation:
energy relative to the lowest polymorph listed for this composition: 5.10 eV per formula unit
SG: Fm-3m, No. 225
D(E_F): 2.650 states/eV/f.u.
total DFT energy (no corrections): -4.3198 eV/atom
raw formation energy: 1581 meV per atom


5.
Computed, not measured: a relaxed Li2GeF crystal at the PBE level of DFT.

```
Li2GeF
1.0
-2.169 1.932 -0.442
-1.964 0.515 2.123
2.583 5.823 3.010
Ge Li F
1 2 1
direct
0.500 0.500 0.500
0.277 0.277 0.170
0.723 0.723 0.830
0.000 0.000 0.000
```

Values from the calculation:
energy relative to the lowest polymorph listed for this composition: 0.00 eV per formula unit
SG: R-3m, No. 166
D(E_F): 1.435 states/eV/f.u.
total DFT energy (no corrections): -4.0653 eV/atom
raw formation energy: -1486 meV per atom


6.
Computed, not measured: a relaxed Ho2SiO crystal at the PBE level of DFT.

```
Ho2SiO
1.0
3.678 0.000 0.000
1.839 3.185 0.000
1.839 1.062 6.333
Si O Ho
1 1 2
direct
0.500 0.500 0.500
0.000 0.000 0.000
0.738 0.738 0.785
0.262 0.262 0.215
```

Values from the calculation:
energy relative to the lowest polymorph listed for this composition: 0.25 eV per formula unit
SG: R-3m, No. 166
D(E_F): 1.687 states/eV/f.u.
total DFT energy (no corrections): -6.4986 eV/atom
raw formation energy: -1614 meV per atom


7.
Computed, not measured: a relaxed ZnOsCl2 crystal at the PBE level of DFT.

```
ZnOsCl2
1.0
-4.209 2.112 6.681
-6.673 1.647 4.424
-5.378 -0.994 6.075
Os Cl Zn
1 2 1
direct
0.496 0.496 0.496
0.779 0.779 0.779
0.978 0.978 0.978
0.246 0.246 0.246
```

Values from the calculation:
energy relative to the lowest polymorph listed for this composition: 0.22 eV per formula unit
SG: R3m, No. 160
total DFT energy (no corrections): -4.0041 eV/atom
raw formation energy: 45 meV per atom


8.
Computed, not measured: a relaxed SrTaSb2Te crystal at the PBE level of DFT.

```
SrTaSb2Te
1.0
-3.749 -3.587 -1.435
-0.524 -1.509 5.141
-4.006 3.892 0.734
Ta Sr Sb Te
1 1 2 1
direct
0.000 0.000 0.000
0.500 0.500 0.500
0.000 0.500 0.000
0.500 0.000 0.000
0.000 0.000 0.500
```

Values from the calculation:
energy relative to the lowest polymorph listed for this composition: 0.00 eV per formula unit
SG: P4/mmm, No. 123
D(E_F): 2.580 states/eV/f.u.
total DFT energy (no corrections): -5.1890 eV/atom
raw formation energy: -205 meV per atom


9.
Computed, not measured: a relaxed MgTa2Al2 crystal at the PBE level of DFT.

```
MgTa2Al2
1.0
-1.726 5.056 -4.917
-6.704 -2.748 -0.472
-1.013 2.049 2.462
Al Ta Mg
4 4 2
direct
0.875 0.625 0.000
0.125 0.375 0.000
0.625 0.125 0.000
0.375 0.875 0.000
0.830 0.330 0.500
0.670 0.830 0.500
0.170 0.670 0.500
0.330 0.170 0.500
0.500 0.500 0.000
0.000 0.000 0.000
```

Values from the calculation:
energy relative to the lowest polymorph listed for this composition: 0.00 eV per formula unit
SG: P4/mbm, No. 127
D(E_F): 6.462 states/eV/f.u.
total DFT energy (no corrections): -6.4662 eV/atom


10.
Computed, not measured: a relaxed KTe2HF crystal at the PBE level of DFT.

```
KTe2HF
1.0
-4.846 3.418 3.751
0.116 -3.488 3.328
5.072 3.434 3.423
Te H K F
2 1 1 1
direct
0.500 0.000 0.000
0.000 0.000 0.500
0.500 0.500 0.500
0.000 0.000 0.000
0.000 0.500 0.000
```

Values from the calculation:
energy relative to the lowest polymorph listed for this composition: 5.20 eV per formula unit
SG: P4/mmm, No. 123
D(E_F): 5.324 states/eV/f.u.
total DFT energy (no corrections): -2.1072 eV/atom


11.
Computed, not measured: a relaxed HfAlV crystal at the PBE level of DFT.

```
HfAlV
1.0
-3.206 3.167 2.301
-4.946 -1.615 0.895
-1.530 -1.092 4.934
Hf Al V
2 2 2
direct
0.882 0.368 0.368
0.118 0.632 0.632
0.500 0.500 0.000
0.500 0.000 0.500
0.000 0.000 0.000
0.500 0.000 0.000
```

Values from the calculation:
energy relative to the lowest polymorph listed for this composition: 0.00 eV per formula unit
SG: Imma, No. 74
D(E_F): 3.353 states/eV/f.u.
total DFT energy (no corrections): -7.8759 eV/atom


12.
Computed, not measured: a relaxed NbGa2S6 crystal at the PBE level of DFT.

```
NbGa2S6
1.0
6.651 -0.257 -0.249
1.623 7.939 -0.197
1.623 0.060 7.941
S Nb Ga
12 2 4
direct
0.104 0.829 0.951
0.899 0.530 0.670
0.188 0.090 0.616
0.396 0.049 0.171
0.812 0.910 0.384
0.688 0.616 0.090
0.101 0.470 0.330
0.604 0.951 0.829
0.896 0.171 0.049
0.601 0.330 0.470
0.399 0.670 0.530
0.312 0.384 0.910
0.750 0.886 0.114
0.250 0.114 0.886
0.826 0.387 0.238
0.326 0.238 0.387
0.674 0.762 0.613
0.174 0.613 0.762
```

Values from the calculation:
SG: C2/c, No. 15
D(E_F): 0.871 states/eV/f.u.
total DFT energy (no corrections): -5.0775 eV/atom
raw formation energy: -534 meV per atom


Question: Among the records above, which one has the highest total DFT energy (no corrections)?
Answer: KTe2HF